Below is a geometry-optimized Tb8Nd2Er structure, with properties calculated at the PBE-GGA level.

Values from the calculation:
ΔH_f (0 K): 0.02 eV per atom
polymorph energy (0 for the lowest one): 0 meV/atom
DOS(E_F): 15.37 states/eV/cell
theoretical density: 8.1 g/cm³

abc: 5.057 8.006 9.461
angles: 104.74 105.50 90.00
Positions (direct):
Nd 0.773 0.363 0.546
Tb 0.865 0.822 0.730
Tb 0.045 0.728 0.089
Tb 0.135 0.178 0.270
Tb 0.410 0.547 0.821
Tb 0.590 0.453 0.179
Tb 0.681 0.908 0.362
Nd 0.227 0.637 0.454
Er 0.500 0.000 0.000
Tb 0.319 0.092 0.638
Tb 0.955 0.272 0.911